Cr2RuPbO8 | Alexandria via LeMat-Bulk | GGA+U | optimized geometry; electronic total energy = -6.87 eV per atom; density = 6.476 g cm⁻³; crystal system = orthorhombic
1.0
4.655 -0.047 -0.003
-0.004 4.650 -0.005
0.005 0.006 6.400
Cr Ru Pb O
2 1 1 8
Cartesian
2.328 2.306 4.841
2.326 2.303 1.551
0.000 0.000 0.000
0.002 0.003 3.200
0.932 3.703 1.406
3.269 3.243 6.395
3.721 0.903 1.406
3.723 0.906 4.987
1.385 1.367 -0.002
0.934 3.707 4.986
3.146 3.122 3.195
1.509 1.488 3.198